No. 1
Computed, not measured: an optimized crystal structure of La2As3Au3 at the GGA-PBE level of DFT.

The structure in CIF format:
```
data_La2As3Au3
_cell_length_a 7.726
_cell_length_b 7.726
_cell_length_c 8.154
_cell_angle_alpha 90.00
_cell_angle_beta 90.00
_cell_angle_gamma 120.00
_symmetry_space_group_name_H-M 'P 1'
_symmetry_Int_Tables_number 1
loop_
_symmetry_equiv_pos_as_xyz
'x,y,z'
loop_
_atom_site_label
_atom_site_type_symbol
_atom_site_fract_x
_atom_site_fract_y
_atom_site_fract_z
La1 La 0.333 0.667 0.000
La2 La 0.333 0.667 0.500
La3 La 0.667 0.333 0.000
La4 La 0.667 0.333 0.500
As1 As 0.000 0.335 0.250
As2 As 0.000 0.665 0.750
As3 As 0.335 0.000 0.250
As4 As 0.335 0.335 0.750
As5 As 0.665 0.000 0.750
As6 As 0.665 0.665 0.250
Au1 Au 0.000 0.328 0.750
Au2 Au 0.000 0.672 0.250
Au3 Au 0.328 0.000 0.750
Au4 Au 0.328 0.328 0.250
Au5 Au 0.672 0.000 0.250
Au6 Au 0.672 0.672 0.750
```

Properties
Total moment   0.00 μB/cell
E   -79.37 eV for the cell shown
E_form   -0.756 eV/atom
Space-group type   P6_3/mcm, No. 193



No. 2
Computed, not measured: an optimized crystal structure of LaAs2Au at the GGA-PBE level of DFT.

The structure in CIF format:
```
data_LaAs2Au
_cell_length_a 4.602
_cell_length_b 4.602
_cell_length_c 4.195
_cell_angle_alpha 90.00
_cell_angle_beta 90.00
_cell_angle_gamma 90.00
_symmetry_space_group_name_H-M 'P 1'
_symmetry_Int_Tables_number 1
loop_
_symmetry_equiv_pos_as_xyz
'x,y,z'
loop_
_atom_site_label
_atom_site_type_symbol
_atom_site_fract_x
_atom_site_fract_y
_atom_site_fract_z
La1 La 0.000 0.000 0.000
As1 As 0.000 0.500 0.500
As2 As 0.500 0.000 0.500
Au1 Au 0.500 0.500 0.000
```

Properties
Total moment   0.00 μB/cell
E   -20.15 eV for the cell shown
E_form   -0.661 eV/atom
Space-group type   P4/mmm, No. 123



No. 3
Computed, not measured: an optimized crystal structure of LiLa2As4Au3 at the GGA-PBE level of DFT.

The structure in CIF format:
```
data_LiLa2As4Au3
_cell_length_a 4.142
_cell_length_b 4.142
_cell_length_c 14.913
_cell_angle_alpha 90.00
_cell_angle_beta 90.00
_cell_angle_gamma 90.00
_symmetry_space_group_name_H-M 'P 1'
_symmetry_Int_Tables_number 1
loop_
_symmetry_equiv_pos_as_xyz
'x,y,z'
loop_
_atom_site_label
_atom_site_type_symbol
_atom_site_fract_x
_atom_site_fract_y
_atom_site_fract_z
Li1 Li 0.000 0.000 0.000
La1 La 0.000 0.500 0.334
La2 La 0.500 0.000 0.666
As1 As 0.000 0.000 0.500
As2 As 0.000 0.500 0.713
As3 As 0.500 0.000 0.287
As4 As 0.500 0.500 0.500
Au1 Au 0.000 0.500 0.877
Au2 Au 0.500 0.000 0.123
Au3 Au 0.500 0.500 0.000
```

Properties
Total moment   0.00 μB/cell
E   -45.93 eV for the cell shown
E_form   -0.573 eV/atom
Space-group type   P-4m2, No. 115



No. 4
Computed, not measured: an optimized crystal structure of LiLaAsAu at the GGA-PBE level of DFT.

The structure in CIF format:
```
data_LiLaAsAu
_cell_length_a 7.152
_cell_length_b 7.152
_cell_length_c 7.152
_cell_angle_alpha 90.00
_cell_angle_beta 90.00
_cell_angle_gamma 90.00
_symmetry_space_group_name_H-M 'P 1'
_symmetry_Int_Tables_number 1
loop_
_symmetry_equiv_pos_as_xyz
'x,y,z'
loop_
_atom_site_label
_atom_site_type_symbol
_atom_site_fract_x
_atom_site_fract_y
_atom_site_fract_z
Li1 Li 0.000 0.000 0.000
Li2 Li 0.000 0.500 0.500
Li3 Li 0.500 0.000 0.500
Li4 Li 0.500 0.500 0.000
La1 La 0.000 0.000 0.500
La2 La 0.000 0.500 0.000
La3 La 0.500 0.000 0.000
La4 La 0.500 0.500 0.500
As1 As 0.250 0.250 0.250
As2 As 0.250 0.750 0.750
As3 As 0.750 0.250 0.750
As4 As 0.750 0.750 0.250
Au1 Au 0.250 0.250 0.750
Au2 Au 0.250 0.750 0.250
Au3 Au 0.750 0.250 0.250
Au4 Au 0.750 0.750 0.750
```

Properties
Total moment   0.00 μB/cell
E   -73.07 eV for the cell shown
E_form   -0.875 eV/atom
Space-group type   F-43m, No. 216



No. 5
Computed, not measured: an optimized crystal structure of La2Ni4As3Au at the GGA-PBE level of DFT.

The structure in CIF format:
```
data_La2Ni4As3Au
_cell_length_a 4.264
_cell_length_b 4.264
_cell_length_c 9.728
_cell_angle_alpha 90.00
_cell_angle_beta 90.00
_cell_angle_gamma 90.00
_symmetry_space_group_name_H-M 'P 1'
_symmetry_Int_Tables_number 1
loop_
_symmetry_equiv_pos_as_xyz
'x,y,z'
loop_
_atom_site_label
_atom_site_type_symbol
_atom_site_fract_x
_atom_site_fract_y
_atom_site_fract_z
La1 La 0.000 0.500 0.242
La2 La 0.500 0.000 0.758
Ni1 Ni 0.000 0.000 0.000
Ni2 Ni 0.000 0.500 0.634
Ni3 Ni 0.500 0.000 0.366
Ni4 Ni 0.500 0.500 0.000
As1 As 0.000 0.500 0.875
As2 As 0.500 0.000 0.125
As3 As 0.500 0.500 0.500
Au1 Au 0.000 0.000 0.500
```

Properties
Total moment   0.00 μB/cell
E   -57.75 eV for the cell shown
E_form   -0.754 eV/atom
Space-group type   P-4m2, No. 115



No. 6
Computed, not measured: an optimized crystal structure of LaNi2AsAu at the GGA-PBE level of DFT.

The structure in CIF format:
```
data_LaNi2AsAu
_cell_length_a 4.435
_cell_length_b 4.435
_cell_length_c 5.827
_cell_angle_alpha 90.00
_cell_angle_beta 90.00
_cell_angle_gamma 90.00
_symmetry_space_group_name_H-M 'P 1'
_symmetry_Int_Tables_number 1
loop_
_symmetry_equiv_pos_as_xyz
'x,y,z'
loop_
_atom_site_label
_atom_site_type_symbol
_atom_site_fract_x
_atom_site_fract_y
_atom_site_fract_z
La1 La 0.000 0.000 0.000
Ni1 Ni 0.000 0.500 0.500
Ni2 Ni 0.500 0.000 0.500
As1 As 0.000 0.000 0.500
Au1 Au 0.500 0.500 0.000
```

Properties
Total moment   0.85 μB/cell
E   -24.67 eV for the cell shown
E_form   -0.050 eV/atom
Space-group type   P4/mmm, No. 123



No. 7
Computed, not measured: an optimized crystal structure of LaAs2OsAu at the GGA-PBE level of DFT.

The structure in CIF format:
```
data_LaAs2OsAu
_cell_length_a 4.859
_cell_length_b 4.859
_cell_length_c 5.620
_cell_angle_alpha 90.00
_cell_angle_beta 90.00
_cell_angle_gamma 90.00
_symmetry_space_group_name_H-M 'P 1'
_symmetry_Int_Tables_number 1
loop_
_symmetry_equiv_pos_as_xyz
'x,y,z'
loop_
_atom_site_label
_atom_site_type_symbol
_atom_site_fract_x
_atom_site_fract_y
_atom_site_fract_z
La1 La 0.000 0.000 0.000
As1 As 0.000 0.500 0.500
As2 As 0.500 0.000 0.500
Os1 Os 0.500 0.500 0.000
Au1 Au 0.000 0.000 0.500
```

Properties
Total moment   0.00 μB/cell
E   -23.25 eV for the cell shown
E_form   1.096 eV/atom
Space-group type   P4/mmm, No. 123



No. 8
Computed, not measured: an optimized crystal structure of LaPaAs3Au at the GGA-PBE level of DFT.

The structure in CIF format:
```
data_LaPaAs3Au
_cell_length_a 8.222
_cell_length_b 4.157
_cell_length_c 9.153
_cell_angle_alpha 90.00
_cell_angle_beta 104.77
_cell_angle_gamma 90.00
_symmetry_space_group_name_H-M 'P 1'
_symmetry_Int_Tables_number 1
loop_
_symmetry_equiv_pos_as_xyz
'x,y,z'
loop_
_atom_site_label
_atom_site_type_symbol
_atom_site_fract_x
_atom_site_fract_y
_atom_site_fract_z
La1 La 0.203 0.250 0.241
La2 La 0.797 0.750 0.759
Pa1 Pa 0.315 0.750 0.832
Pa2 Pa 0.685 0.250 0.168
As1 As 0.085 0.250 0.864
As2 As 0.283 0.750 0.517
As3 As 0.440 0.750 0.155
As4 As 0.560 0.250 0.845
As5 As 0.717 0.250 0.483
As6 As 0.915 0.750 0.136
Au1 Au 0.112 0.250 0.575
Au2 Au 0.888 0.750 0.425
```

Properties
Total moment   0.00 μB/cell
E   -74.45 eV for the cell shown
E_form   -0.929 eV/atom
Space-group type   P2_1/m, No. 11